A relaxed LiMo3Au crystal. Source: Alexandria via LeMat-Bulk, functional GGA-PBE.

Cell and atoms, written as CIF:
```
data_LiMo3Au
_chemical_formula_sum 'Li1 Mo3 Au1'
_cell_length_a 4.236
_cell_length_b 4.236
_cell_length_c 4.236
_cell_angle_alpha 90.00
_cell_angle_beta 90.00
_cell_angle_gamma 90.00
_space_group_name_H-M_alt 'P m -3 m'
_space_group_IT_number 221
_space_group_name_Hall '-P 4 2 3'
loop_
_atom_site_label
_atom_site_type_symbol
_atom_site_fract_x
_atom_site_fract_y
_atom_site_fract_z
Li1 Li 0.000 0.000 0.000
Mo1 Mo 0.000 0.000 0.500
Au1 Au 0.500 0.500 0.500
```

Results
polymorph energy (0 for the lowest one): 0.0 meV per atom
E_form: 1.138 eV per atom
DFT total energy: -31.992 eV/cell

---

A relaxed LiMoAu2 crystal. Source: Alexandria via LeMat-Bulk, functional GGA-PBE.

Cell and atoms, written as CIF:
```
data_LiMoAu2
_chemical_formula_sum 'Li2 Mo2 Au4'
_cell_length_a 3.995
_cell_length_b 3.995
_cell_length_c 8.251
_cell_angle_alpha 90.00
_cell_angle_beta 90.00
_cell_angle_gamma 90.00
_space_group_name_H-M_alt 'I -4 m 2'
_space_group_IT_number 119
_space_group_name_Hall 'I -4 -2'
loop_
_atom_site_label
_atom_site_type_symbol
_atom_site_fract_x
_atom_site_fract_y
_atom_site_fract_z
Li1 Li 0.000 0.000 0.000
Mo1 Mo 0.000 0.500 0.750
Au1 Au 0.000 0.000 0.500
Au2 Au 0.000 0.500 0.250
```

Results
polymorph energy (0 for the lowest one): 290.9 meV per atom
E_form: 0.224 eV per atom
DFT total energy: -36.808 eV/cell

---

A relaxed Li2MoAu crystal. Source: Alexandria via LeMat-Bulk, functional GGA-PBE.

Cell and atoms, written as CIF:
```
data_Li2MoAu
_chemical_formula_sum 'Li4 Mo2 Au2'
_cell_length_a 2.695
_cell_length_b 4.931
_cell_length_c 9.575
_cell_angle_alpha 90.00
_cell_angle_beta 90.00
_cell_angle_gamma 90.00
_space_group_name_H-M_alt 'I m m m'
_space_group_IT_number 71
_space_group_name_Hall '-I 2 2'
loop_
_atom_site_label
_atom_site_type_symbol
_atom_site_fract_x
_atom_site_fract_y
_atom_site_fract_z
Li1 Li 0.000 0.000 0.240
Mo1 Mo 0.000 0.500 0.000
Au1 Au 0.000 0.500 0.500
```

Results
polymorph energy (0 for the lowest one): 121.6 meV per atom
E_form: 0.165 eV per atom
DFT total energy: -34.549 eV/cell

---

A relaxed LiMo2Au crystal. Source: Alexandria via LeMat-Bulk, functional GGA-PBE.

Cell and atoms, written as CIF:
```
data_LiMo2Au
_chemical_formula_sum 'Li4 Mo8 Au4'
_cell_length_a 3.609
_cell_length_b 3.609
_cell_length_c 20.321
_cell_angle_alpha 90.00
_cell_angle_beta 90.00
_cell_angle_gamma 90.00
_space_group_name_H-M_alt 'I -4 2 d'
_space_group_IT_number 122
_space_group_name_Hall 'I -4 2bw'
loop_
_atom_site_label
_atom_site_type_symbol
_atom_site_fract_x
_atom_site_fract_y
_atom_site_fract_z
Li1 Li 0.000 0.000 0.000
Mo1 Mo 0.240 0.250 0.125
Au1 Au 0.000 0.000 0.500
```

Results
polymorph energy (0 for the lowest one): 349.0 meV per atom
E_form: 0.445 eV per atom
DFT total energy: -100.287 eV/cell

---

A relaxed Li2MoAu crystal. Source: Alexandria via LeMat-Bulk, functional GGA-PBE.

Cell and atoms, written as CIF:
```
data_Li2MoAu
_chemical_formula_sum 'Li8 Mo4 Au4'
_cell_length_a 6.259
_cell_length_b 6.259
_cell_length_c 6.259
_cell_angle_alpha 90.00
_cell_angle_beta 90.00
_cell_angle_gamma 90.00
_space_group_name_H-M_alt 'F -4 3 m'
_space_group_IT_number 216
_space_group_name_Hall 'F -4 2 3'
loop_
_atom_site_label
_atom_site_type_symbol
_atom_site_fract_x
_atom_site_fract_y
_atom_site_fract_z
Li1 Li 0.000 0.000 0.000
Li2 Li 0.250 0.250 0.250
Mo1 Mo 0.250 0.250 0.750
Au1 Au 0.000 0.000 0.500
```

Results
polymorph energy (0 for the lowest one): 255.0 meV per atom
E_form: 0.299 eV per atom
DFT total energy: -66.966 eV/cell

---

A relaxed Li2MoAu crystal. Source: Alexandria via LeMat-Bulk, functional GGA-PBE.

Cell and atoms, written as CIF:
```
data_Li2MoAu
_chemical_formula_sum 'Li2 Mo1 Au1'
_cell_length_a 2.688
_cell_length_b 2.688
_cell_length_c 8.551
_cell_angle_alpha 90.00
_cell_angle_beta 90.00
_cell_angle_gamma 90.00
_space_group_name_H-M_alt 'P 4/m m m'
_space_group_IT_number 123
_space_group_name_Hall '-P 4 2'
loop_
_atom_site_label
_atom_site_type_symbol
_atom_site_fract_x
_atom_site_fract_y
_atom_site_fract_z
Li1 Li 0.000 0.000 0.236
Mo1 Mo 0.500 0.500 0.500
Au1 Au 0.500 0.500 0.000
```

Results
polymorph energy (0 for the lowest one): 12.5 meV per atom
E_form: 0.056 eV per atom
DFT total energy: -17.711 eV/cell

---

A relaxed LiMoOs2Au crystal. Source: Alexandria via LeMat-Bulk, functional GGA-PBE.

Cell and atoms, written as CIF:
```
data_LiMoOs2Au
_chemical_formula_sum 'Li1 Mo1 Os2 Au1'
_cell_length_a 4.654
_cell_length_b 4.654
_cell_length_c 4.614
_cell_angle_alpha 90.00
_cell_angle_beta 90.00
_cell_angle_gamma 90.00
_space_group_name_H-M_alt 'P 4/m m m'
_space_group_IT_number 123
_space_group_name_Hall '-P 4 2'
loop_
_atom_site_label
_atom_site_type_symbol
_atom_site_fract_x
_atom_site_fract_y
_atom_site_fract_z
Li1 Li 0.000 0.000 0.000
Mo1 Mo 0.000 0.000 0.500
Os1 Os 0.000 0.500 0.500
Au1 Au 0.500 0.500 0.000
```

Results
E_form: 1.753 eV per atom
DFT total energy: -29.718 eV/cell

---

A relaxed Li2MoOsAu crystal. Source: Alexandria via LeMat-Bulk, functional GGA-PBE.

Cell and atoms, written as CIF:
```
data_Li2MoOsAu
_chemical_formula_sum 'Li2 Mo1 Os1 Au1'
_cell_length_a 4.081
_cell_length_b 4.081
_cell_length_c 5.212
_cell_angle_alpha 90.00
_cell_angle_beta 90.00
_cell_angle_gamma 90.00
_space_group_name_H-M_alt 'P 4/m m m'
_space_group_IT_number 123
_space_group_name_Hall '-P 4 2'
loop_
_atom_site_label
_atom_site_type_symbol
_atom_site_fract_x
_atom_site_fract_y
_atom_site_fract_z
Li1 Li 0.000 0.500 0.000
Mo1 Mo 0.000 0.000 0.500
Os1 Os 0.500 0.500 0.500
Au1 Au 0.500 0.500 0.000
```

Results
E_form: 1.153 eV per atom
DFT total energy: -23.401 eV/cell

---

> What is the formula in the second record?

LiMoAu2

---

> DFT total energy of number 8 (Li2MoOsAu)?

-23.401 eV/cell